A plane-wave DFT calculation with GGA-PBE was carried out for crystalline Ca2CdCu at its relaxed geometry.

## Properties
The formation energy comes out at -0.036 eV/atom. The total energy comes out at -0.168 Ry/atom. For the volume, the calculation gives 103.9 Å³/f.u. Its crystal system is tetragonal. As for the calculated density: 4.095 g cm⁻³.

Unit cell a=4.490 b=4.490 c=10.303 alpha=90.00 beta=90.00 gamma=90.00
Fractional positions:
Ca (0.000, 0.000, 0.000)
Ca (0.000, 0.500, 0.250)
Ca (0.500, 0.000, 0.750)
Ca (0.500, 0.500, 0.500)
Cd (0.000, 0.500, 0.750)
Cd (0.500, 0.000, 0.250)
Cu (0.000, 0.000, 0.500)
Cu (0.500, 0.500, 0.000)

A plane-wave DFT calculation with GGA-PBE was carried out for crystalline BaAcSb4 at its relaxed geometry.

## Properties
The total energy comes out at -0.313 Ry/atom. For the volume, the calculation gives 195.2 Å³/f.u. Its crystal system is cubic. The formation energy from raw total energies comes out at -502.7 meV per atom. As for the calculated density: 7.243 g cm⁻³.

Unit cell a=6.511 b=6.511 c=6.511 alpha=60.00 beta=60.00 gamma=60.00
Fractional positions:
Ba (0.000, 0.000, 0.000)
Ac (0.250, 0.250, 0.250)
Sb (0.127, 0.624, 0.624)
Sb (0.624, 0.127, 0.624)
Sb (0.624, 0.624, 0.127)
Sb (0.624, 0.624, 0.624)

A plane-wave DFT calculation with GGA-PBE was carried out for crystalline Tm6TlCu2 at its relaxed geometry.

## Properties
The formation energy comes out at -0.217 eV/atom. The total energy comes out at -0.321 Ry/atom. For the volume, the calculation gives 228.2 Å³/f.u. Its crystal system is orthorhombic. As for the calculated density: 9.789 g cm⁻³.

Unit cell a=8.411 b=8.411 c=8.411 alpha=112.91 beta=109.64 gamma=105.94
Fractional positions:
Tm (0.035, 0.237, 0.798)
Tm (0.186, 0.285, 0.471)
Tm (0.186, 0.715, 0.901)
Tm (0.322, 0.018, 0.696)
Tm (0.322, 0.627, 0.304)
Tm (0.439, 0.237, 0.202)
Tm (0.561, 0.763, 0.798)
Tm (0.678, 0.373, 0.696)
Tm (0.678, 0.982, 0.304)
Tm (0.814, 0.285, 0.099)
Tm (0.814, 0.715, 0.529)
Tm (0.965, 0.763, 0.202)
Tl (0.000, 0.000, 0.000)
Tl (0.500, 0.500, 0.000)
Cu (0.121, 0.621, 0.500)
Cu (0.352, 0.000, 0.352)
Cu (0.648, 0.000, 0.648)
Cu (0.879, 0.379, 0.500)

A plane-wave DFT calculation with GGA-PBE was carried out for crystalline CaNdPdPt at its relaxed geometry.

## Properties
The formation energy comes out at -0.898 eV/atom. The total energy comes out at -0.397 Ry/atom. For the volume, the calculation gives 95.7 Å³/f.u. Its crystal system is orthorhombic. The offset from the most stable computed form is 0.0 meV per atom. As for the calculated density: 8.428 g cm⁻³.

Unit cell a=4.515 b=3.941 c=10.761 alpha=90.00 beta=90.00 gamma=90.00
Fractional positions:
Ca (0.000, 0.000, 0.000)
Ca (0.000, 0.500, 0.500)
Nd (0.500, 0.000, 0.278)
Nd (0.500, 0.500, 0.778)
Pd (0.000, 0.000, 0.720)
Pd (0.000, 0.500, 0.220)
Pt (0.500, 0.000, 0.558)
Pt (0.500, 0.500, 0.058)

Q: Look up the total energy of the second one.
A: -0.313 Ry/atom